Record 1
Computed, not measured: a relaxed AsOsRuBr2 crystal at the GGA-PBEsol level of DFT.

Cell lengths 4.9294, 4.9294, 4.6558 Å; angles 90.00, 90.00, 90.00 degrees
Space group P4/mmm (No. 123)
Unique sites:
As 0.0000 0.0000 0.0000 x1
Os 0.5000 0.5000 0.0000 x1
Ru 0.0000 0.0000 0.5000 x1
Br 0.0000 0.5000 0.5000 x2

Calculated values
uncorrected formation energy = 1572 meV per atom
size of the total moment = 3.7 μB per cell

Record 2
Computed, not measured: a relaxed ZrCr2Cd crystal at the GGA-PBEsol level of DFT.

Cell lengths 5.6169, 8.9249, 2.6463 Å; angles 90.00, 110.12, 90.00 degrees
Space group C2/m (No. 12)
Unique sites:
Zr 0.0000 0.0000 0.0000 x2
Cr 0.2500 0.2500 0.5000 x4
Cd 0.0000 0.5000 0.0000 x2

Calculated values
energy relative to the elements = 585.6 meV per atom
size of the total moment = 0.0 μB per cell

Record 3
Computed, not measured: a relaxed Cr2Cd2Mo crystal at the GGA-PBEsol level of DFT.

Cell lengths 3.8635, 3.8635, 11.1329 Å; angles 90.00, 90.00, 90.00 degrees
Space group I4/mmm (No. 139)
Unique sites:
Cr 0.0000 0.0000 0.0799 x4
Cd 0.0000 0.5000 0.2500 x4
Mo 0.0000 0.0000 0.5000 x2

Calculated values
energy relative to the elements = 917.7 meV per atom
size of the total moment = 0.0 μB per cell

> What is the size of the total moment in the first record?

3.7 μB per cell